Record 1
Density functional theory data (PBE) for a geometry-optimized TcOs2C structure.

a b c (Å): 5.053 5.053 6.167
angles (deg): 65.82 65.82 90.00
Sites, in units of the cell vectors:
Tc1 0.000 0.000 0.000
Os1 0.199 0.625 0.250
Tc2 0.750 0.250 0.500
Os2 0.551 0.125 0.250
C1 0.500 0.500 0.000
Os3 0.375 0.449 0.750
C2 0.250 0.750 0.500
Os4 0.875 0.801 0.750

Properties
Energy relative to the elements (meV/atom): 867
Raw total energy (eV per atom): -9.65

=====

Record 2
Density functional theory data (PBE) for a geometry-optimized Tc3OsC structure.

a b c (Å): 4.037 4.037 4.037
angles (deg): 90.00 90.00 90.00
Sites, in units of the cell vectors:
C1 0.000 0.000 0.000
Tc1 0.500 0.000 0.000
Os1 0.500 0.500 0.500
Tc2 0.000 0.000 0.500
Tc3 0.000 0.500 0.000

Properties
Energy relative to the elements (meV/atom): 227
Raw total energy (eV per atom): -10.08

=====

Record 3
Density functional theory data (PBE) for a geometry-optimized TeOsC3 structure.

a b c (Å): 4.073 4.073 4.073
angles (deg): 90.00 90.00 90.00
Sites, in units of the cell vectors:
Te1 0.000 0.000 0.000
Os1 0.500 0.500 0.500
C1 0.500 0.000 0.000
C2 0.000 0.500 0.000
C3 0.000 0.000 0.500

Properties
Formation energy without anion corrections (eV/atom): 3.493
Raw total energy (eV per atom): -4.92

=====

Record 4
Density functional theory data (PBE) for a geometry-optimized TeOsC3 structure.

a b c (Å): 4.088 4.088 4.088
angles (deg): 90.00 90.00 90.00
Sites, in units of the cell vectors:
Te1 0.500 0.500 0.500
C1 0.500 0.000 0.000
C2 0.000 0.000 0.500
C3 0.000 0.500 0.000
Os1 0.000 0.000 0.000

Properties
Formation energy without anion corrections (eV/atom): 2.058
Raw total energy (eV per atom): -6.35

=====

Record 5
Density functional theory data (PBE) for a geometry-optimized TeOs3C structure.

a b c (Å): 4.827 4.827 4.827
angles (deg): 90.00 90.00 90.00
Sites, in units of the cell vectors:
Os1 0.000 0.000 0.500
Os2 0.000 0.500 0.000
Os3 0.500 0.000 0.000
C1 0.500 0.500 0.500
Te1 0.000 0.000 0.000

Properties
Formation energy without anion corrections (eV/atom): 3.823
Raw total energy (eV per atom): -5.39

=====

Record 6
Density functional theory data (PBE) for a geometry-optimized TeOs3C structure.

a b c (Å): 4.177 4.177 4.177
angles (deg): 90.00 90.00 90.00
Sites, in units of the cell vectors:
Te1 0.500 0.500 0.500
Os1 0.000 0.500 0.000
C1 0.000 0.000 0.000
Os2 0.500 0.000 0.000
Os3 0.000 0.000 0.500

Properties
Formation energy without anion corrections (eV/atom): 0.891
Raw total energy (eV per atom): -8.32

=====

Record 7
Density functional theory data (PBE) for a geometry-optimized TeOs2C structure.

a b c (Å): 4.328 4.328 4.328
angles (deg): 60.00 60.00 60.00
Sites, in units of the cell vectors:
Os1 0.750 0.750 0.750
C1 0.000 0.000 0.000
Te1 0.500 0.500 0.500
Os2 0.250 0.250 0.250

Properties
Formation energy without anion corrections (eV/atom): 1.673
Raw total energy (eV per atom): -7.03

=====

Record 8
Density functional theory data (PBE) for a geometry-optimized TeOs2C structure.

a b c (Å): 5.119 5.119 6.449
angles (deg): 66.62 66.62 90.00
Sites, in units of the cell vectors:
Te1 0.750 0.250 0.500
C1 0.500 0.500 0.000
Te2 0.000 0.000 0.000
C2 0.250 0.750 0.500
Os1 0.520 0.125 0.250
Os2 0.875 0.770 0.750
Os3 0.230 0.625 0.250
Os4 0.375 0.480 0.750

Properties
Formation energy without anion corrections (eV/atom): 0.719
Raw total energy (eV per atom): -7.99

=====

Record 9
Density functional theory data (PBE) for a geometry-optimized Th6TeOs2C3 structure.

a b c (Å): 3.921 8.300 8.988
angles (deg): 104.75 102.60 90.00
Sites, in units of the cell vectors:
Te1 0.500 0.000 0.000
Th1 0.319 0.921 0.638
Th2 0.334 0.405 0.669
C1 0.500 0.500 0.000
Th3 0.995 0.288 0.990
Th4 0.681 0.079 0.362
Os1 0.834 0.676 0.669
C2 0.159 0.833 0.318
Th5 0.666 0.595 0.331
C3 0.841 0.167 0.682
Os2 0.166 0.324 0.331
Th6 0.005 0.712 0.010

Properties
Formation energy without anion corrections (eV/atom): -0.267
Raw total energy (eV per atom): -8.42

=====

Record 10
Density functional theory data (PBE) for a geometry-optimized Th3TeOsC structure.

a b c (Å): 4.170 9.174 9.592
angles (deg): 103.98 90.00 90.00
Sites, in units of the cell vectors:
Th1 0.750 0.443 0.141
C1 0.250 0.083 0.602
Os1 0.250 0.653 0.155
C2 0.750 0.917 0.398
Th2 0.750 0.867 0.152
Th3 0.250 0.133 0.848
Th4 0.750 0.171 0.525
Os2 0.750 0.347 0.845
Th5 0.250 0.829 0.475
Te1 0.750 0.823 0.772
Te2 0.250 0.177 0.228
Th6 0.250 0.557 0.859

Properties
Formation energy without anion corrections (eV/atom): -0.522
Raw total energy (eV per atom): -8.16

=====

Record 11
Density functional theory data (PBE) for a geometry-optimized TlTeOs2C structure.

a b c (Å): 4.026 6.215 4.026
angles (deg): 90.00 90.00 90.00
Sites, in units of the cell vectors:
Te1 0.000 0.500 0.000
Os1 0.000 0.000 0.500
Tl1 0.500 0.500 0.500
Os2 0.500 0.000 0.000
C1 0.000 0.000 0.000

Properties
Formation energy without anion corrections (eV/atom): 1.275
Raw total energy (eV per atom): -6.16

=====

Record 12
Density functional theory data (PBE) for a geometry-optimized ThOsC2 structure.

a b c (Å): 3.794 4.070 4.070
angles (deg): 110.04 90.00 90.00
Sites, in units of the cell vectors:
Th1 0.000 0.001 0.999
C1 0.500 0.542 0.155
C2 0.500 0.845 0.458
Os1 0.500 0.392 0.608

Properties
Energy relative to the elements (meV/atom): -101
Raw total energy (eV per atom): -9.38

=====

Record 13
Density functional theory data (PBE) for a geometry-optimized Th6Os2C structure.

a b c (Å): 6.563 7.216 9.987
angles (deg): 90.00 86.54 90.00
Sites, in units of the cell vectors:
Th1 0.160 0.320 0.566
C1 0.000 0.000 0.500
Th2 0.145 0.041 0.256
C2 0.500 0.500 0.000
Th3 0.855 0.959 0.744
Th4 0.180 0.322 0.940
Th5 0.320 0.822 0.560
Th6 0.820 0.678 0.060
Th7 0.660 0.180 0.066
Th8 0.840 0.680 0.434
Os1 0.441 0.118 0.728
Os2 0.559 0.882 0.272
Th9 0.645 0.459 0.756
Th10 0.680 0.178 0.440
Os3 0.941 0.382 0.228
Os4 0.059 0.618 0.772
Th11 0.355 0.541 0.244
Th12 0.340 0.820 0.934

Properties
Energy relative to the elements (meV/atom): -292
Raw total energy (eV per atom): -8.76

=====

Record 14
Density functional theory data (PBE) for a geometry-optimized ThOsC2 structure.

a b c (Å): 3.461 3.461 5.593
angles (deg): 71.97 71.97 60.00
Sites, in units of the cell vectors:
Th1 0.500 0.500 0.500
C1 0.271 0.271 0.186
Os1 0.000 0.000 0.000
C2 0.729 0.729 0.814

Properties
Energy relative to the elements (meV/atom): 263
Raw total energy (eV per atom): -9.01

=====

Record 15
Density functional theory data (PBE) for a geometry-optimized TmTh2OsC2 structure.

a b c (Å): 3.758 5.766 11.135
angles (deg): 90.00 90.00 90.00
Sites, in units of the cell vectors:
C1 0.500 0.217 0.610
Tm1 0.000 0.000 0.500
C2 0.500 0.783 0.390
Th1 0.500 0.048 0.209
Th2 0.000 0.548 0.291
C3 0.000 0.283 0.110
Tm2 0.500 0.500 0.000
Os1 0.500 0.500 0.500
Th3 0.500 0.952 0.791
Th4 0.000 0.452 0.709
Os2 0.000 0.000 0.000
C4 0.000 0.717 0.890

Properties
Energy relative to the elements (meV/atom): -183
Raw total energy (eV per atom): -8.35

=====

Record 16
Density functional theory data (PBE) for a geometry-optimized Y2ThOsC2 structure.

a b c (Å): 3.742 5.628 11.289
angles (deg): 90.00 90.00 90.00
Sites, in units of the cell vectors:
Os1 0.000 0.000 0.000
Y1 0.500 0.970 0.791
C1 0.500 0.762 0.380
Y2 0.000 0.530 0.291
Os2 0.500 0.500 0.500
Y3 0.000 0.470 0.709
Th1 0.000 0.000 0.500
C2 0.000 0.262 0.120
C3 0.000 0.738 0.880
Y4 0.500 0.030 0.209
C4 0.500 0.238 0.620
Th2 0.500 0.500 0.000

Properties
Energy relative to the elements (meV/atom): -222
Raw total energy (eV per atom): -8.56

=====

Record 17
Density functional theory data (PBE) for a geometry-optimized YTh2OsC4 structure.

a b c (Å): 3.633 6.341 12.501
angles (deg): 90.00 90.00 106.65
Sites, in units of the cell vectors:
Y1 0.116 0.232 0.750
Os1 0.846 0.691 0.750
Th1 0.634 0.267 0.039
C1 0.734 0.467 0.637
C2 0.000 0.000 0.500
C3 0.580 0.160 0.250
Y2 0.884 0.768 0.250
C4 0.734 0.467 0.863
C5 0.000 0.000 0.000
C6 0.266 0.533 0.137
C7 0.266 0.533 0.363
C8 0.420 0.840 0.750
Th2 0.366 0.733 0.961
Th3 0.366 0.733 0.539
Os2 0.154 0.309 0.250
Th4 0.634 0.267 0.461

Properties
Energy relative to the elements (meV/atom): 33
Raw total energy (eV per atom): -8.65

=====

Record 18
Density functional theory data (PBE) for a geometry-optimized YTh2OsC2 structure.

a b c (Å): 3.789 5.794 11.208
angles (deg): 90.00 90.00 90.00
Sites, in units of the cell vectors:
Th1 0.000 0.540 0.293
Th2 0.500 0.960 0.793
Os1 0.000 0.000 0.000
Th3 0.500 0.040 0.207
C1 0.000 0.723 0.887
Th4 0.000 0.460 0.707
C2 0.500 0.777 0.387
C3 0.000 0.277 0.113
C4 0.500 0.223 0.613
Y1 0.500 0.500 0.000
Os2 0.500 0.500 0.500
Y2 0.000 0.000 0.500

Properties
Energy relative to the elements (meV/atom): -190
Raw total energy (eV per atom): -8.69

=====

Record 19
Density functional theory data (PBE) for a geometry-optimized Th2ZnOsC structure.

a b c (Å): 4.131 6.596 8.378
angles (deg): 109.70 90.00 90.00
Sites, in units of the cell vectors:
C1 0.250 0.835 0.829
Os1 0.750 0.487 0.257
Th1 0.250 0.222 0.971
Zn1 0.750 0.283 0.695
Th2 0.750 0.778 0.029
Zn2 0.250 0.717 0.305
Th3 0.750 0.774 0.614
Os2 0.250 0.513 0.743
Th4 0.250 0.226 0.386
C2 0.750 0.165 0.171

Properties
Energy relative to the elements (meV/atom): -181
Raw total energy (eV per atom): -7.49

=====

Record 20
Density functional theory data (PBE) for a geometry-optimized Th2Zn2Os2C structure.

a b c (Å): 4.113 5.831 6.302
angles (deg): 73.00 70.96 69.35
Sites, in units of the cell vectors:
Zn1 0.861 0.607 0.671
Os1 0.799 0.326 0.076
C1 0.000 0.000 0.000
Th1 0.565 0.162 0.708
Os2 0.201 0.674 0.924
Zn2 0.139 0.393 0.329
Th2 0.435 0.838 0.292

Properties
Energy relative to the elements (meV/atom): -211
Raw total energy (eV per atom): -7.22

=====

Record 21
Density functional theory data (PBE) for a geometry-optimized ThZr2OsC4 structure.

a b c (Å): 3.434 6.128 11.456
angles (deg): 90.00 90.00 106.27
Sites, in units of the cell vectors:
C1 0.000 0.000 0.000
Zr1 0.630 0.260 0.040
Zr2 0.370 0.740 0.960
Zr3 0.630 0.260 0.460
C2 0.571 0.142 0.250
Zr4 0.370 0.740 0.540
C3 0.265 0.530 0.119
Os1 0.161 0.323 0.250
C4 0.265 0.530 0.381
Th1 0.901 0.803 0.250
C5 0.735 0.470 0.881
C6 0.000 0.000 0.500
C7 0.429 0.858 0.750
Os2 0.839 0.677 0.750
Th2 0.099 0.197 0.750
C8 0.735 0.470 0.619

Properties
Energy relative to the elements (meV/atom): -315
Raw total energy (eV per atom): -9.39

=====

Record 22
Density functional theory data (PBE) for a geometry-optimized TiOsC3 structure.

a b c (Å): 3.901 3.901 3.901
angles (deg): 90.00 90.00 90.00
Sites, in units of the cell vectors:
Os1 0.500 0.500 0.500
C1 0.000 0.500 0.000
C2 0.000 0.000 0.500
Ti1 0.000 0.000 0.000
C3 0.500 0.000 0.000

Properties
Energy relative to the elements (meV/atom): 2525
Raw total energy (eV per atom): -6.83

=====

Record 23
Density functional theory data (PBE) for a geometry-optimized Ti3OsC structure.

a b c (Å): 4.694 4.694 4.694
angles (deg): 90.00 90.00 90.00
Sites, in units of the cell vectors:
C1 0.500 0.500 0.500
Ti1 0.500 0.000 0.000
Ti2 0.000 0.000 0.500
Os1 0.000 0.000 0.000
Ti3 0.000 0.500 0.000

Properties
Energy relative to the elements (meV/atom): 1604
Raw total energy (eV per atom): -7.22

=====

Record 24
Density functional theory data (PBE) for a geometry-optimized Ti3OsC structure.

a b c (Å): 4.132 4.132 4.132
angles (deg): 90.00 90.00 90.00
Sites, in units of the cell vectors:
Ti1 0.000 0.000 0.500
Ti2 0.500 0.000 0.000
C1 0.000 0.000 0.000
Ti3 0.000 0.500 0.000
Os1 0.500 0.500 0.500

Properties
Energy relative to the elements (meV/atom): -383
Raw total energy (eV per atom): -9.21

=====

Number 1: ρ 12.7 g/cm³, DOS at the Fermi energy 5.1 states/eV per cell. Number 2: ρ 12.5 g/cm³, DOS at the Fermi energy 4.7 states/eV per cell. Number 3: ρ 8.7 g/cm³, DOS at the Fermi energy 7.9 states/eV per cell. Number 4: ρ 8.6 g/cm³, DOS at the Fermi energy 6.4 states/eV per cell. Number 5: ρ 10.5 g/cm³, DOS at the Fermi energy 6.9 states/eV per cell. Number 6: ρ 16.2 g/cm³, DOS at the Fermi energy 1.4 states/eV per cell. Number 7: ρ 15.1 g/cm³, DOS at the Fermi energy 2.3 states/eV per cell. Number 8: ρ 12.4 g/cm³, DOS at the Fermi energy 2.1 states/eV per cell. Number 9: ρ 11.7 g/cm³, DOS at the Fermi energy 6.6 states/eV per cell. Number 10: ρ 9.6 g/cm³, DOS at the Fermi energy 5.1 states/eV per cell. Number 11: ρ 11.9 g/cm³, DOS at the Fermi energy 4.8 states/eV per cell. Number 12: ρ 12.5 g/cm³, DOS at the Fermi energy 1.2 states/eV per cell. Number 13: ρ 12.6 g/cm³, DOS at the Fermi energy 17.9 states/eV per cell. Number 14: ρ 13.7 g/cm³, DOS at the Fermi energy 4.0 states/eV per cell. Number 15: ρ 11.7 g/cm³, DOS at the Fermi energy 8.8 states/eV per cell. Number 16: ρ 8.7 g/cm³, DOS at the Fermi energy 10.0 states/eV per cell. Number 17: ρ 9.5 g/cm³, DOS at the Fermi energy 11.1 states/eV per cell. Number 18: ρ 10.4 g/cm³, DOS at the Fermi energy 8.9 states/eV per cell. Number 19: ρ 11.3 g/cm³, DOS at the Fermi energy 8.2 states/eV per cell. Number 20: ρ 12.5 g/cm³, DOS at the Fermi energy 5.3 states/eV per cell. Number 21: ρ 9.4 g/cm³, DOS at the Fermi energy 7.3 states/eV per cell. Number 22: ρ 7.7 g/cm³, DOS at the Fermi energy 5.9 states/eV per cell. Number 23: ρ 5.6 g/cm³, DOS at the Fermi energy 9.7 states/eV per cell. Number 24: ρ 8.1 g/cm³, DOS at the Fermi energy 5.5 states/eV per cell.